1.
Density functional theory data (PBE) for a relaxed AlNiIr2 crystal.

The structure belongs to space group R-3m (No. 166, hexagonal axes); the cell edges are 2.7816, 2.7816 and 24.5270 Å and the angles 90.00°, 90.00° and 120.00°. The distinct sites, in fractional coordinates, are Al at (0.0000, 0.0000, 0.0000), Ni at (0.0000, 0.0000, 0.5000) and Ir at (0.0000, 0.0000, 0.2508).

The electronic total energy comes out at -84.83 eV for the cell shown. As for the crystal system: trigonal.

***

2.
Density functional theory data (PBE) for a relaxed LiZn2Br crystal.

The structure belongs to space group Cm (No. 8); the cell edges are 8.308, 3.663 and 6.439 Å and the angles 90.00°, 105.81° and 90.00°. The distinct sites, in fractional coordinates, are Li at (0.000, 0.000, 0.000), Zn at (0.109, 0.500, 0.657), Zn at (0.306, 0.000, 0.613) and Br at (0.223, 0.500, 0.135).

As for the crystal system: monoclinic. The formation energy from raw total energies is -0.40 eV per atom.

***

3.
Density functional theory data (PBE) for a relaxed PrY2Hg8 crystal.

The structure belongs to space group Immm (No. 71); the cell edges are 5.130, 7.457 and 14.767 Å and the angles 90.00°, 90.00° and 90.00°. The distinct sites, in fractional coordinates, are Pr at (0.000, 0.000, 0.000), Y at (0.000, 0.000, 0.308), Hg at (0.000, 0.205, 0.500), Hg at (0.000, 0.289, 0.152) and Hg at (0.000, 0.500, 0.343).

The electronic total energy comes out at -47.32 eV for the cell shown. As for the crystal system: orthorhombic.

***

| no. | total magnetization (μB per formula unit) |
| --- | --- |
| 1 | 0.6 |
| 2 | 0.0 |
| 3 | 0.0 |